VASP calculation (GGA+U) on a relaxed RbCoI2O crystal.

Cell: 6.3545 6.3545 3.6255 Å, 90.00 90.00 90.00°
Space group P4/mmm (No. 123)
Inequivalent atoms, fractional coordinates:
Rb1 0.0000 0.0000 0.0000 [1 per cell]
Co1 0.5000 0.5000 0.5000 [1 per cell]
I1 0.0000 0.5000 0.5000 [2 per cell]
O1 0.5000 0.5000 0.0000 [1 per cell]

Calculated values
E = -0.1292 hartree per atom